Material: LaP3Au
Method: DFT, PBEsol
State: relaxed

V = 147.4 Å³ per cell
Energy of formation = 6.71 eV/f.u.
SG = No. 221
Magnetization = 0.00 Bohr magnetons per cell

Cell: 5.283 5.283 5.283 Å, 90.00 90.00 90.00°
Fractional positions:
P 0.000 0.500 0.000
P 0.000 0.000 0.500
P 0.500 0.000 0.000
Au 0.500 0.500 0.500
La 0.000 0.000 0.000



Material: LaP2Au
Method: DFT, PBEsol
State: relaxed

V = 80.6 Å³ per cell
Energy of formation = -1.06 eV/f.u.
SG = No. 216
Magnetization = 0.00 Bohr magnetons per cell

Cell: 4.849 4.849 4.849 Å, 60.00 60.00 60.00°
Fractional positions:
Au 0.500 0.500 0.500
La 0.250 0.250 0.250
P 0.000 0.000 0.000
P 0.750 0.750 0.750



Material: LaPAu3
Method: DFT, PBEsol
State: relaxed

V = 108.3 Å³ per cell
Energy of formation = -1.56 eV/f.u.
SG = No. 221
Magnetization = 0.00 Bohr magnetons per cell

Cell: 4.767 4.767 4.767 Å, 90.00 90.00 90.00°
Fractional positions:
P 0.000 0.000 0.000
Au 0.000 0.500 0.000
Au 0.000 0.000 0.500
Au 0.500 0.000 0.000
La 0.500 0.500 0.500



Material: LaP2Au
Method: DFT, PBEsol
State: relaxed

V = 83.6 Å³ per cell
Energy of formation = -3.51 eV/f.u.
SG = No. 119
Magnetization = 0.00 Bohr magnetons per cell

Cell: 4.134 4.136 5.695 Å, 111.29 111.28 90.00°
Fractional positions:
P 0.550 0.925 0.850
P 0.325 0.700 0.401
Au 0.687 0.562 0.125
La 0.937 0.312 0.625



Material: La2PAu
Method: DFT, PBEsol
State: relaxed

V = 109.8 Å³ per cell
Energy of formation = -4.22 eV/f.u.
SG = No. 166
Magnetization = 0.00 Bohr magnetons per cell

Cell: 4.149 4.149 7.745 Å, 74.46 74.46 60.00°
Fractional positions:
P 0.500 0.500 0.500
Au 0.000 0.000 0.000
La 0.243 0.243 0.270
La 0.757 0.757 0.730



Material: La2PAu
Method: DFT, PBEsol
State: relaxed

V = 110.9 Å³ per cell
Energy of formation = -3.99 eV/f.u.
SG = No. 123
Magnetization = 0.00 Bohr magnetons per cell

Cell: 4.264 4.264 6.100 Å, 90.00 90.00 90.00°
Fractional positions:
Au 0.500 0.500 0.500
La 0.000 0.000 0.500
La 0.500 0.500 0.000
P 0.000 0.000 0.000



Material: LaPAuS2
Method: DFT, PBEsol
State: relaxed

V = 160.6 Å³ per cell
Raw formation energy = 3.28 eV per formula unit
SG = No. 123
Magnetization = 2.10 Bohr magnetons per cell

Cell: 5.336 5.336 5.640 Å, 90.00 90.00 90.00°
Last column: magnetic moment on the atom in μB.
Fractional positions:
P 0.000 0.000 0.500  0.53
S 0.000 0.500 0.000  0.25
S 0.500 0.000 0.000  0.25
Au 0.500 0.500 0.500  0.03
La 0.000 0.000 0.000  0.07



Material: LaTlP2Au
Method: DFT, PBEsol
State: relaxed

V = 145.3 Å³ per cell
Energy of formation = 4.16 eV/f.u.
SG = No. 123
Magnetization = 0.00 Bohr magnetons per cell

Cell: 4.897 4.897 6.058 Å, 90.00 90.00 90.00°
Fractional positions:
P 0.000 0.500 0.000
P 0.500 0.000 0.000
Tl 0.000 0.000 0.000
Au 0.500 0.500 0.500
La 0.000 0.000 0.500



Material: La2PbAu
Method: DFT, PBEsol
State: relaxed

V = 110.4 Å³ per cell
Energy of formation = -2.68 eV/f.u.
SG = No. 123
Magnetization = 0.00 Bohr magnetons per cell

Cell: 3.615 3.615 8.451 Å, 90.00 89.98 90.00°
Fractional positions:
Pb 0.500 0.500 0.000
Au 0.500 0.500 0.500
La 0.000 0.000 0.728
La 0.000 0.000 0.272



Material: La2PbAu
Method: DFT, PBEsol
State: relaxed

V = 105.6 Å³ per cell
Energy of formation = -0.89 eV/f.u.
SG = No. 216
Magnetization = 0.01 Bohr magnetons per cell

Cell: 5.306 5.306 5.306 Å, 60.00 60.00 60.00°
Fractional positions:
Au 0.500 0.500 0.500
La 0.000 0.000 0.000
La 0.750 0.750 0.750
Pb 0.250 0.250 0.250



Material: LaPb2Au
Method: DFT, PBEsol
State: relaxed

V = 103.5 Å³ per cell
Energy of formation = -1.90 eV/f.u.
SG = No. 123
Magnetization = 0.00 Bohr magnetons per cell

Cell: 4.638 4.724 4.724 Å, 90.00 90.00 90.00°
Fractional positions:
Pb 0.000 0.000 0.500
Pb 0.000 0.500 0.000
Au 0.500 0.500 0.500
La 0.500 0.000 0.000



Material: LaPbAu4
Method: DFT, PBEsol
State: relaxed

V = 126.7 Å³ per cell
Energy of formation = -2.78 eV/f.u.
SG = No. 216
Magnetization = 0.00 Bohr magnetons per cell

Cell: 5.637 5.637 5.637 Å, 60.00 60.00 60.00°
Fractional positions:
Pb 0.000 0.000 0.000
Au 0.375 0.375 0.375
Au 0.375 0.375 0.875
Au 0.875 0.375 0.375
Au 0.375 0.875 0.375
La 0.750 0.750 0.750